(1)
Entry from OQMD via LeMat-Bulk: an optimized crystal structure of Rb2CdPdF6 (PBE-GGA).

Results
E_tot = -3.98 eV/atom
Space group = I4/mmm, No. 139

Cell lengths 6.0585, 6.0585, 6.0585 Å; angles 120.25, 120.25, 89.58 degrees
Last column: nearest neighbours and their distance in Å.
Fractional coordinates of all 10 atoms:
Cd  0.5000  0.5000  0.0000  6 F 2.16
F  0.7534  0.2466  0.0000  1 Pd 2.11, 1 Cd 2.16
F  0.2490  0.2490  0.0000  1 Pd 2.14, 1 Cd 2.16
F  0.7510  0.7510  0.0000  1 Pd 2.14, 1 Cd 2.16
F  0.2466  0.7534  0.0000  1 Pd 2.11, 1 Cd 2.16
F  0.2466  0.2466  0.4932  1 Pd 2.11, 1 Cd 2.16
F  0.7534  0.7534  0.5068  1 Pd 2.11, 1 Cd 2.16
Pd  0.0000  0.0000  0.0000  6 F 2.11-2.14
Rb  0.7500  0.2500  0.5000  12 F 3.02-3.03
Rb  0.2500  0.7500  0.5000  12 F 3.02-3.03



(2)
Entry from OQMD via LeMat-Bulk: an optimized crystal structure of Cd2Te2PdF2 (PBE-GGA).

Results
E_tot = -3.36 eV/atom
Space group = P-4m2, No. 115

Cell lengths 3.8281, 3.8281, 9.6687 Å; angles 90.00, 90.00, 90.00 degrees
Last column: nearest neighbours and their distance in Å.
Fractional coordinates of all 7 atoms:
Cd  0.0000  0.5000  0.3558  4 F 2.37
Cd  0.5000  0.0000  0.6442  4 F 2.37
F  0.0000  0.0000  0.5000  4 Cd 2.37
F  0.5000  0.5000  0.5000  4 Cd 2.37
Pd  0.0000  0.0000  0.0000  4 Te 2.63
Te  0.5000  0.0000  0.1869  2 Pd 2.63
Te  0.0000  0.5000  0.8131  2 Pd 2.63



(3)
Entry from OQMD via LeMat-Bulk: an optimized crystal structure of PrCd3F (PBE-GGA).

Results
E_tot = -2.42 eV/atom
Space group = Pm-3m, No. 221

Cell lengths 4.9152, 4.9152, 4.9152 Å; angles 90.00, 90.00, 90.00 degrees
Last column: nearest neighbours and their distance in Å.
Fractional coordinates of all 5 atoms:
Cd  0.5000  0.0000  0.0000  2 F 2.46
Cd  0.0000  0.5000  0.0000  2 F 2.46
Cd  0.0000  0.0000  0.5000  2 F 2.46
F  0.0000  0.0000  0.0000  6 Cd 2.46
Pr  0.5000  0.5000  0.5000  12 Cd 3.48



(4)
Entry from OQMD via LeMat-Bulk: an optimized crystal structure of Cd2Te2PtF2 (PBE-GGA).

Results
E_tot = -3.45 eV/atom
Space group = P-4m2, No. 115

Cell lengths 3.9210, 3.9210, 9.3280 Å; angles 90.00, 90.00, 90.00 degrees
Last column: nearest neighbours and their distance in Å.
Fractional coordinates of all 7 atoms:
Cd  0.0000  0.5000  0.3546  4 F 2.38
Cd  0.5000  0.0000  0.6454  4 F 2.38
F  0.0000  0.0000  0.5000  4 Cd 2.38
F  0.5000  0.5000  0.5000  4 Cd 2.38
Pt  0.5000  0.5000  0.0000  4 Te 2.61
Te  0.5000  0.0000  0.1840  2 Pt 2.61
Te  0.0000  0.5000  0.8160  2 Pt 2.61



(5)
Entry from OQMD via LeMat-Bulk: an optimized crystal structure of Rb3CdF6 (PBE-GGA).

Results
E_tot = -3.74 eV/atom
Space group = I4/m, No. 87

Cell lengths 6.3716, 6.3716, 6.3716 Å; angles 122.17, 122.17, 86.27 degrees
Last column: nearest neighbours and their distance in Å.
Fractional coordinates of all 10 atoms:
Cd  0.0000  0.0000  0.0000  6 F 2.11-2.15
F  0.2313  0.2313  0.0000  1 Cd 2.15
F  0.7687  0.7687  0.0000  1 Cd 2.15
F  0.3139  0.8650  0.1789  1 Cd 2.11
F  0.1350  0.3139  0.4488  1 Cd 2.11
F  0.8650  0.6861  0.5512  1 Cd 2.11
F  0.6861  0.1350  0.8211  1 Cd 2.11
Rb  0.5000  0.5000  0.0000  6 F 2.50-2.52
Rb  0.7500  0.2500  0.5000  4 F 2.72
Rb  0.2500  0.7500  0.5000  4 F 2.72



(6)
Entry from OQMD via LeMat-Bulk: an optimized crystal structure of Rb3Cd2F7 (PBE-GGA).

Results
E_tot = -3.96 eV/atom
Space group = I4/mmm, No. 139

Cell lengths 11.5531, 11.5531, 11.5531 Å; angles 158.20, 158.20, 31.02 degrees
Last column: nearest neighbours and their distance in Å.
Fractional coordinates of all 12 atoms:
Cd  0.0992  0.0992  0.0000  6 F 2.19-2.21
Cd  0.9008  0.9008  0.0000  6 F 2.19-2.21
F  0.0000  0.0000  0.0000  2 Cd 2.21
F  0.1979  0.1979  0.0000  1 Cd 2.20
F  0.8021  0.8021  0.0000  1 Cd 2.20
F  0.5961  0.0961  0.5000  2 Cd 2.19
F  0.9039  0.4039  0.5000  2 Cd 2.19
F  0.0961  0.5961  0.5000  2 Cd 2.19
F  0.4039  0.9039  0.5000  2 Cd 2.19
Rb  0.3150  0.3150  0.0000  1 F 2.61
Rb  0.5000  0.5000  0.0000  12 F 3.06-3.09
Rb  0.6850  0.6850  0.0000  1 F 2.61



(7)
Entry from OQMD via LeMat-Bulk: an optimized crystal structure of Rb3CdF6 (PBE-GGA).

Results
E_tot = -3.76 eV/atom
Space group = P-1, No. 2

Cell lengths 6.2180, 6.2382, 6.3782 Å; angles 89.60, 61.85, 60.25 degrees
Last column: nearest neighbours and their distance in Å.
Fractional coordinates of all 10 atoms:
Cd  0.0000  0.0000  0.0000  6 F 2.12-2.13
F  0.0190  0.2883  0.1490  1 Cd 2.12
F  0.5398  0.2780  0.1730  1 Cd 2.13
F  0.9174  0.8836  0.3284  1 Cd 2.12
F  0.0826  0.1164  0.6716  1 Cd 2.12
F  0.4602  0.7220  0.8270  1 Cd 2.13
F  0.9810  0.7117  0.8510  1 Cd 2.12
Rb  0.5030  0.7475  0.2407  5 F 2.65-2.84
Rb  0.0000  0.5000  0.5000  6 F 2.52-2.54
Rb  0.4970  0.2525  0.7593  5 F 2.65-2.84



(8)
Entry from OQMD via LeMat-Bulk: an optimized crystal structure of Rb2CdSbF6 (PBE-GGA).

Results
E_tot = -4.04 eV/atom
Space group = P2_1/c, No. 14

Cell lengths 6.0250, 6.4767, 10.6725 Å; angles 90.00, 123.47, 90.00 degrees
Last column: nearest neighbours and their distance in Å.
Fractional coordinates of all 20 atoms:
Cd  0.0000  0.0000  0.0000  6 F 2.35-2.38
Cd  0.0000  0.5000  0.5000  6 F 2.35-2.38
F  0.8352  0.3119  0.0366  1 Sb 2.20, 1 Cd 2.38
F  0.7198  0.7889  0.0389  1 Sb 2.20, 1 Cd 2.38
F  0.6715  0.4790  0.2421  1 Sb 2.20, 1 Cd 2.35
F  0.3285  0.9790  0.2579  1 Sb 2.20, 1 Cd 2.35
F  0.2802  0.2889  0.4611  1 Sb 2.20, 1 Cd 2.38
F  0.1648  0.8119  0.4634  1 Sb 2.20, 1 Cd 2.38
F  0.8352  0.1881  0.5366  1 Sb 2.20, 1 Cd 2.38
F  0.7198  0.7111  0.5389  1 Sb 2.20, 1 Cd 2.38
F  0.6715  0.0210  0.7421  1 Sb 2.20, 1 Cd 2.35
F  0.3285  0.5210  0.7579  1 Sb 2.20, 1 Cd 2.35
F  0.2802  0.2111  0.9611  1 Sb 2.20, 1 Cd 2.38
F  0.1648  0.6881  0.9634  1 Sb 2.20, 1 Cd 2.38
Rb  0.7639  0.0516  0.2486  6 F 2.71-3.02
Rb  0.2361  0.5516  0.2514  6 F 2.71-3.02
Rb  0.7639  0.4484  0.7486  6 F 2.71-3.02
Rb  0.2361  0.9484  0.7514  6 F 2.71-3.02
Sb  0.5000  0.5000  0.0000  6 F 2.20
Sb  0.5000  0.0000  0.5000  6 F 2.20



> Look up the E_tot of the fifth one.

-3.74 eV/atom



> Among the records above, which one has the highest E_tot?

PrCd3F